*A*
6
Lattice="0.000 4.855 4.855 4.855 0.000 4.855 4.855 4.855 0.000" Properties=species:S:1:pos:R:3 comment="LiCa4In | Alexandria | PBE | optimized geometry" vol_a3_per_cell=228.9 pbc="T T T"
Ca 3.647 3.647 3.647
Ca 6.063 6.063 3.647
Ca 6.063 3.647 6.063
Ca 3.647 6.063 6.063
In 7.282 7.282 7.282
Li 0.000 0.000 0.000

*B*
6
Lattice="-0.193 1.269 5.325 -4.032 -3.638 0.721 5.180 -5.468 1.496" Properties=species:S:1:pos:R:3 comment="LiCa4In | Alexandria | PBE | optimized geometry" vol_a3_per_cell=230.4 pbc="T T T"
Ca -0.787 -3.094 0.716
Ca -0.178 -7.155 4.527
Ca -2.898 -4.276 3.740
Ca 1.936 -5.969 1.505
Li -1.441 -6.353 1.471
In 3.069 -6.628 4.521

Stability summary: most stable *B*, least stable *A*.

*A*
5
Lattice="-4.439 2.541 0.338 -0.637 -1.748 4.777 2.483 4.095 1.830" Properties=species:S:1:pos:R:3 comment="Li3CaIn | Alexandria | PBE | optimized geometry" vol_a3_per_cell=134.7 pbc="T T T"
Li -2.220 1.271 0.169
Li 1.241 2.047 0.915
Li -0.319 -0.874 2.388
Ca -1.297 2.444 3.472
In 0.000 0.000 0.000

*B*
10
Lattice="4.930 0.000 0.000 0.000 5.809 -2.130 0.000 0.496 8.217" Properties=species:S:1:pos:R:3 comment="Li3CaIn | Alexandria | PBE | optimized geometry" vol_a3_per_cell=240.5 pbc="T T T"
Li 2.704 5.235 0.208
Li 0.239 2.874 2.659
Li 0.239 5.543 1.604
Li 0.238 5.369 4.388
Li 2.704 2.095 1.282
Li 2.703 5.905 5.640
Ca 2.704 1.887 4.858
Ca 0.239 3.081 -0.916
In 2.703 4.490 2.990
In 0.238 0.479 0.952

*C*
5
Lattice="3.510 -0.002 0.002 -0.001 5.023 0.004 1.746 2.515 6.990" Properties=species:S:1:pos:R:3 comment="Li3CaIn | Alexandria | PBE | optimized geometry" vol_a3_per_cell=123.2 pbc="T T T"
Li 2.990 3.294 0.750
Li 2.990 5.808 2.528
Li 1.234 3.299 3.261
In 1.230 5.810 4.847
Ca 2.985 3.297 6.183

Stability summary: most stable *B*, least stable *A*.

*A*
7
Lattice="1.715 -14.950 0.000 1.715 14.950 0.000 0.000 0.000 3.380" Properties=species:S:1:pos:R:3 comment="Li2Ca2In3 | Alexandria | PBE | optimized geometry" vol_a3_per_cell=173.4 pbc="T T T"
In 1.715 -10.234 0.000
In 0.000 0.000 0.000
In 1.715 10.234 0.000
Ca 1.715 -2.344 1.690
Ca 1.715 2.344 1.690
Li 1.715 -6.347 1.690
Li 1.715 6.347 1.690

*B*
7
Lattice="4.669 0.000 0.000 -2.334 5.488 -0.357 0.000 -2.961 7.040" Properties=species:S:1:pos:R:3 comment="Li2Ca2In3 | Alexandria | PBE | optimized geometry" vol_a3_per_cell=175.4 pbc="T T T"
Li 0.000 0.825 1.377
Li 2.334 1.702 5.306
In 0.000 2.468 3.662
In 2.334 0.000 0.000
In 2.334 0.058 3.021
Ca 2.334 3.230 1.365
Ca 0.000 -0.703 5.318

Stability summary: most stable *A*, least stable *B*.

*A*
8
Lattice="-2.900 0.692 3.648 -1.171 -4.564 -0.065 6.767 -1.818 5.724" Properties=species:S:1:pos:R:3 comment="LiCaIn6 | Alexandria | PBE | optimized geometry" vol_a3_per_cell=200.9 pbc="T T T"
In -2.036 -1.936 1.792
In 3.540 -0.995 6.046
In 4.405 -3.623 4.189
In 0.326 -0.131 3.327
In 1.348 -2.845 4.654
In 1.191 -2.759 1.470
Li 3.383 -0.909 2.862
Ca 0.000 0.000 0.000

*B*
8
Lattice="5.352 0.000 0.000 0.000 6.611 -0.215 0.000 -3.120 5.832" Properties=species:S:1:pos:R:3 comment="LiCaIn6 | Alexandria | PBE | optimized geometry" vol_a3_per_cell=202.7 pbc="T T T"
In 2.676 2.447 0.371
In 2.676 4.242 3.259
In 0.000 2.595 2.281
In 0.000 0.998 5.264
In 2.676 5.843 0.262
In 0.000 -0.787 2.392
Li 0.000 -2.311 5.330
Ca 2.676 0.935 3.312

Stability summary: most stable *A*, least stable *B*.